Entry 1:
{
  "formula": "AcTlP2S8",
  "functional": "PBE",
  "state": "relaxed",
  "raw_formation_energy_ev_per_atom": -0.472,
  "cell": [[-5.1102, -0.2269, -3.5460], [5.5975, -0.9726, -2.5420], [-0.8331, -9.5255, 1.8100]],
  "species": ["Ac", "Tl", "P", "P", "S", "S", "S", "S", "S", "S", "S", "S"],
  "frac_coords": [[0.0000, 0.0000, 0.5000], [0.0000, 0.0000, 0.0000], [0.6667, 0.3333, 0.2511], [0.3333, 0.6667, 0.7489], [0.3333, 0.6667, 0.9587], [0.3824, 0.3878, 0.3106], [0.6122, 0.9946, 0.3106], [0.6667, 0.3333, 0.0413], [0.3878, 0.0054, 0.6894], [0.6176, 0.6122, 0.6894], [0.9946, 0.3824, 0.6894], [0.0054, 0.6176, 0.3106]]
}


Entry 2:
{
  "formula": "AcTmP2S8",
  "functional": "PBE",
  "state": "relaxed",
  "raw_formation_energy_ev_per_atom": -0.983,
  "cell": [[-3.8468, 4.6040, 0.1219], [1.3665, -2.6308, -5.2174], [-6.8528, -5.7551, 1.1070]],
  "species": ["Ac", "Tm", "P", "P", "S", "S", "S", "S", "S", "S", "S", "S"],
  "frac_coords": [[0.0000, 0.0000, 0.0000], [0.0000, 0.0000, 0.5000], [0.6667, 0.3333, 0.2350], [0.3333, 0.6667, 0.7650], [0.3333, 0.6667, 0.9900], [0.3319, 0.3252, 0.2963], [0.6748, 0.0068, 0.2963], [0.6667, 0.3333, 0.0100], [0.3252, 0.9932, 0.7037], [0.6681, 0.6748, 0.7037], [0.0068, 0.3319, 0.7037], [0.9932, 0.6681, 0.2963]]
}


Copy entry 1 word for word.
{
  "formula": "AcTlP2S8",
  "functional": "PBE",
  "state": "relaxed",
  "raw_formation_energy_ev_per_atom": -0.472,
  "cell": [[-5.1102, -0.2269, -3.5460], [5.5975, -0.9726, -2.5420], [-0.8331, -9.5255, 1.8100]],
  "species": ["Ac", "Tl", "P", "P", "S", "S", "S", "S", "S", "S", "S", "S"],
  "frac_coords": [[0.0000, 0.0000, 0.5000], [0.0000, 0.0000, 0.0000], [0.6667, 0.3333, 0.2511], [0.3333, 0.6667, 0.7489], [0.3333, 0.6667, 0.9587], [0.3824, 0.3878, 0.3106], [0.6122, 0.9946, 0.3106], [0.6667, 0.3333, 0.0413], [0.3878, 0.0054, 0.6894], [0.6176, 0.6122, 0.6894], [0.9946, 0.3824, 0.6894], [0.0054, 0.6176, 0.3106]]
}


Copy entry 2 word for word.
{
  "formula": "AcTmP2S8",
  "functional": "PBE",
  "state": "relaxed",
  "raw_formation_energy_ev_per_atom": -0.983,
  "cell": [[-3.8468, 4.6040, 0.1219], [1.3665, -2.6308, -5.2174], [-6.8528, -5.7551, 1.1070]],
  "species": ["Ac", "Tm", "P", "P", "S", "S", "S", "S", "S", "S", "S", "S"],
  "frac_coords": [[0.0000, 0.0000, 0.0000], [0.0000, 0.0000, 0.5000], [0.6667, 0.3333, 0.2350], [0.3333, 0.6667, 0.7650], [0.3333, 0.6667, 0.9900], [0.3319, 0.3252, 0.2963], [0.6748, 0.0068, 0.2963], [0.6667, 0.3333, 0.0100], [0.3252, 0.9932, 0.7037], [0.6681, 0.6748, 0.7037], [0.0068, 0.3319, 0.7037], [0.9932, 0.6681, 0.2963]]
}